A relaxed NaMoNF2 crystal. Source: the Alexandria database, functional PBE with a Hubbard U.

Results
DFT total energy = -4.5189 eV per atom
E above lowest polymorph = 456.8 kJ/mol of formula units
Calculated density = 2.278 g/cm3

Unit cell a=4.1501 b=4.1501 c=7.2335 alpha=90.00 beta=90.00 gamma=90.00
Space group P4/mmm (No. 123)
Unique sites:
Na1 0.0000 0.0000 0.0000 (multiplicity 1)
Mo1 0.0000 0.0000 0.5000 (multiplicity 1)
N1 0.5000 0.5000 0.0000 (multiplicity 1)
F1 0.0000 0.5000 0.5000 (multiplicity 2)